! CsScTe2, optimized geometry, DFT GGA-PBE; values from VASP
&SYSTEM
  ibrav = 0, nat = 4, ntyp = 3
/
ATOMIC_SPECIES
Cs 132.91 Cs.upf
Sc 44.96 Sc.upf
Te 127.60 Te.upf
CELL_PARAMETERS angstrom
4.787 0.000 0.000
0.000 4.787 0.000
0.000 0.000 6.561
ATOMIC_POSITIONS crystal
Cs 0.500 0.500 0.000
Sc 0.000 0.000 0.500
Te 0.000 0.000 0.000
Te 0.500 0.500 0.500
! Final energy, eV for the cell shown: -15.492
! Calculated density, g cm⁻³: 4.78
! D(E_F), states/eV per cell: 0.44
! Uncorrected formation energy, eV/atom: -0.5058

! CdInHg2, optimized geometry, DFT GGA-PBE; values from VASP
&SYSTEM
  ibrav = 0, nat = 4, ntyp = 3
/
ATOMIC_SPECIES
Cd 112.41 Cd.upf
Hg 200.59 Hg.upf
In 114.82 In.upf
CELL_PARAMETERS angstrom
-2.832 -1.420 -0.089
3.927 -4.753 0.126
-0.056 2.856 5.465
ATOMIC_POSITIONS crystal
Cd 0.500 0.500 0.500
Hg 0.000 0.500 0.000
Hg 0.000 0.000 0.500
In 0.500 0.000 0.000
! Final energy, eV for the cell shown: -4.161
! Energy of formation from the pure elements, eV per formula unit: 0.1
! Calculated density, g cm⁻³: 10.02
! D(E_F), states/eV per cell: 1.15

! Hf5Be2Pb2, optimized geometry, DFT GGA-PBE; values from VASP
&SYSTEM
  ibrav = 0, nat = 18, ntyp = 3
/
ATOMIC_SPECIES
Pb 207.20 Pb.upf
Hf 178.49 Hf.upf
Be 9.01 Be.upf
CELL_PARAMETERS angstrom
-2.291 6.767 1.110
-2.932 -2.009 6.199
5.012 4.910 3.962
ATOMIC_POSITIONS crystal
Pb 0.219 0.000 0.561
Hf 0.723 0.332 0.219
Be 0.128 0.371 0.000
Be 0.628 0.129 0.000
Hf 0.942 0.332 0.781
Hf 0.058 0.668 0.219
Pb 0.719 0.500 0.561
Hf 0.442 0.168 0.781
Pb 0.281 0.500 0.439
Hf 0.223 0.168 0.219
Hf 0.000 0.000 0.000
Hf 0.500 0.500 0.000
Hf 0.777 0.832 0.781
Be 0.872 0.629 0.000
Pb 0.781 0.000 0.439
Be 0.372 0.871 0.000
Hf 0.558 0.832 0.219
Hf 0.277 0.668 0.781
! Final energy, eV for the cell shown: -129.955
! Energy of formation from the pure elements, eV per formula unit: -0.3
! Calculated density, g cm⁻³: 11.83
! D(E_F), states/eV per cell: 14.32

! AlGeAu, optimized geometry, DFT GGA-PBE; values from VASP
&SYSTEM
  ibrav = 0, nat = 6, ntyp = 3
/
ATOMIC_SPECIES
Ge 72.64 Ge.upf
Au 196.97 Au.upf
Al 26.98 Al.upf
CELL_PARAMETERS angstrom
-3.659 -1.662 1.564
-2.791 -1.946 -2.651
3.544 -6.692 1.181
ATOMIC_POSITIONS crystal
Ge 0.552 0.487 0.067
Au 0.218 0.154 0.186
Al 0.885 0.820 0.279
Al 0.218 0.154 0.528
Au 0.885 0.821 0.621
Ge 0.551 0.488 0.740
! Final energy, eV for the cell shown: -24.184
! Energy of formation from the pure elements, eV per formula unit: -0.5
! Calculated density, g cm⁻³: 7.98
! D(E_F), states/eV per cell: 2.23

! KReRh4, optimized geometry, DFT GGA-PBE; values from VASP
&SYSTEM
  ibrav = 0, nat = 6, ntyp = 3
/
ATOMIC_SPECIES
Re 186.21 Re.upf
Rh 102.91 Rh.upf
K 39.10 K.upf
CELL_PARAMETERS angstrom
0.000 3.684 3.684
3.684 0.000 3.684
3.684 3.684 0.000
ATOMIC_POSITIONS crystal
Re 0.000 0.000 0.000
Rh 0.375 0.876 0.375
Rh 0.375 0.375 0.375
Rh 0.375 0.375 0.876
K 0.750 0.750 0.750
Rh 0.876 0.375 0.375
! Final energy, eV for the cell shown: -38.169
! Energy of formation from the pure elements, eV per formula unit: 4.8
! Calculated density, g cm⁻³: 10.57
! D(E_F), states/eV per cell: 6.98

! TiMn2Nb2, optimized geometry, DFT GGA-PBE; values from VASP
&SYSTEM
  ibrav = 0, nat = 10, ntyp = 3
/
ATOMIC_SPECIES
Nb 92.91 Nb.upf
Mn 54.94 Mn.upf
Ti 47.87 Ti.upf
CELL_PARAMETERS angstrom
-2.954 -0.053 -6.218
6.009 -1.796 -2.839
-0.755 -3.133 0.385
ATOMIC_POSITIONS crystal
Nb 0.802 0.302 0.500
Nb 0.302 0.198 0.500
Mn 0.391 0.891 0.000
Ti 0.500 0.500 0.000
Mn 0.891 0.609 0.000
Nb 0.698 0.802 0.500
Mn 0.609 0.109 0.000
Ti 0.000 0.000 0.000
Mn 0.109 0.391 0.000
Nb 0.198 0.698 0.500
! Final energy, eV for the cell shown: -91.871
! Energy of formation from the pure elements, eV per formula unit: 0.4
! Calculated density, g cm⁻³: 7.42
! D(E_F), states/eV per cell: 11.88